[1]
VASP calculation (PBE) on a geometry-optimized Sr4Li2Rh structure.

Energy, eV/atom: -2.646
Distance to the lowest polymorph of the same formula, kJ/mol of atoms: 0.0
DOS at the Fermi energy, states/eV/f.u.: 4.6
DFT formation energy, eV per formula unit: -0.61

```
data_Sr4Li2Rh
_space_group_name_H-M_alt 'C 1 2/m 1'
_space_group_IT_number 12
_space_group_name_Hall '-C 2y'
_cell_length_a 17.2162
_cell_length_b 4.5202
_cell_length_c 7.0363
_cell_angle_alpha 90.00
_cell_angle_beta 104.42
_cell_angle_gamma 90.00
loop_
_atom_site_label
_atom_site_type_symbol
_atom_site_fract_x
_atom_site_fract_y
_atom_site_fract_z
_atom_site_occupancy
Sr1 Sr 0.0679 0.0000 0.2667 1
Sr2 Sr 0.1412 0.5000 0.8314 1
Li1 Li 0.2291 0.5000 0.3612 1
Rh1 Rh 0.0000 0.5000 0.0000 1
```


[2]
VASP calculation (PBE) on a geometry-optimized AcLa2Sm4Dy structure.

Energy, eV/atom: -4.650
DOS at the Fermi energy, states/eV/f.u.: 13.2
DFT formation energy, eV per formula unit: 0.24

```
data_AcLa2Sm4Dy
_space_group_name_H-M_alt 'P 1 2/m 1'
_space_group_IT_number 10
_space_group_name_Hall '-P 2y'
_cell_length_a 5.2231
_cell_length_b 5.2554
_cell_length_c 10.3942
_cell_angle_alpha 90.00
_cell_angle_beta 90.04
_cell_angle_gamma 90.00
loop_
_atom_site_label
_atom_site_type_symbol
_atom_site_fract_x
_atom_site_fract_y
_atom_site_fract_z
_atom_site_occupancy
Ac1 Ac 0.0000 0.0000 0.0000 1
La1 La 0.0000 0.0000 0.5000 1
La2 La 0.5000 0.5000 0.0000 1
Sm1 Sm 0.0001 0.5000 0.2571 1
Sm2 Sm 0.4999 0.0000 0.2569 1
Dy1 Dy 0.5000 0.5000 0.5000 1
```


[3]
VASP calculation (PBE) on a geometry-optimized Tb5Y2Er structure.

Energy, eV/atom: -4.945
Distance to the lowest polymorph of the same formula, kJ/mol of atoms: 11.4
DOS at the Fermi energy, states/eV/f.u.: 11.9
DFT formation energy, eV per formula unit: 1.08

```
data_Tb5Y2Er
_space_group_name_H-M_alt 'P -1'
_space_group_IT_number 2
_space_group_name_Hall '-P 1'
_cell_length_a 6.6163
_cell_length_b 8.8922
_cell_length_c 9.4802
_cell_angle_alpha 87.35
_cell_angle_beta 82.69
_cell_angle_gamma 68.21
loop_
_atom_site_label
_atom_site_type_symbol
_atom_site_fract_x
_atom_site_fract_y
_atom_site_fract_z
_atom_site_occupancy
Tb1 Tb 0.0210 0.0178 0.3361 1
Tb2 Tb 0.0279 0.7882 0.0502 1
Tb3 Tb 0.3155 0.2114 0.5496 1
Tb4 Tb 0.3955 0.7093 0.7504 1
Tb5 Tb 0.4620 0.0166 0.1639 1
Y1 Y 0.2740 0.6282 0.4241 1
Y2 Y 0.4014 0.3725 0.9239 1
Er1 Er 0.0420 0.4159 0.2500 1
```


Which formula does entry 1 have? Sr4Li2Rh


Number 1 is which compound? Sr4Li2Rh


Number 2 is which compound? AcLa2Sm4Dy